Entry from Alexandria via LeMat-Bulk: a geometry-optimized Cd2SbIr structure (GGA-PBE).

## Properties
- raw formation energy (eV per atom) = 0.208
- D(E_F) (states/eV/cell) = 3.23

abc: 3.118 3.118 8.869
angles: 90.00 90.00 90.00
Space group P4/mmm (No. 123)
One atom of each set of equivalent atoms:
Cd: 0.000 0.000 0.200 x2
Sb: 0.500 0.500 0.500 x1
Ir: 0.500 0.500 0.000 x1

Entry from Alexandria via LeMat-Bulk: a geometry-optimized Cd2SbIr structure (GGA-PBE).

## Properties
- raw formation energy (eV per atom) = 0.038
- D(E_F) (states/eV/cell) = 1.66

abc: 4.439 3.125 7.004
angles: 90.00 108.18 90.00
Space group Pm (No. 6)
One atom of each set of equivalent atoms:
Cd: 0.000 0.000 0.000 x1
Cd: 0.338 0.500 0.678 x1
Sb: 0.632 0.500 0.267 x1
Ir: 0.793 0.000 0.586 x1

Entry from Alexandria via LeMat-Bulk: a geometry-optimized CdSbIr structure (GGA-PBE).

## Properties
- raw formation energy (eV per atom) = 0.107
- D(E_F) (states/eV/cell) = 0.71

abc: 3.4201 3.4201 6.5454
angles: 90.00 90.00 120.00
Space group P3m1 (No. 156)
One atom of each set of equivalent atoms:
Cd: 0.0000 0.0000 0.0000 x1
Sb: 0.3333 0.6667 0.5742 x1
Ir: 0.6667 0.3333 0.3136 x1

Entry from Alexandria via LeMat-Bulk: a geometry-optimized Cd2SbIr structure (GGA-PBE).

## Properties
- raw formation energy (eV per atom) = 0.267
- D(E_F) (states/eV/cell) = 4.81

abc: 5.641 8.720 3.276
angles: 90.00 90.00 90.00
Space group Cmmm (No. 65)
One atom of each set of equivalent atoms:
Cd: 0.250 0.250 0.000 x4
Sb: 0.000 0.000 0.500 x2
Ir: 0.000 0.500 0.500 x2

Entry from Alexandria via LeMat-Bulk: a geometry-optimized Cd2SbIr structure (GGA-PBE).

## Properties
- raw formation energy (eV per atom) = 0.249
- D(E_F) (states/eV/cell) = 2.37

abc: 4.144 4.144 4.646
angles: 90.00 90.00 90.00
Space group P4/mmm (No. 123)
One atom of each set of equivalent atoms:
Cd: 0.000 0.500 0.000 x2
Sb: 0.000 0.000 0.500 x1
Ir: 0.500 0.500 0.500 x1

Entry from Alexandria via LeMat-Bulk: a geometry-optimized Cd2SbIr2 structure (GGA-PBE).

## Properties
- raw formation energy (eV per atom) = 0.127
- D(E_F) (states/eV/cell) = 6.06

abc: 6.786 6.786 4.252
angles: 90.00 90.00 90.00
Space group P4/mbm (No. 127)
One atom of each set of equivalent atoms:
Cd: 0.157 0.343 0.000 x4
Sb: 0.000 0.000 0.500 x2
Ir: 0.142 0.642 0.500 x4

Entry from Alexandria via LeMat-Bulk: a geometry-optimized Cd2SbIr structure (GGA-PBE).

## Properties
- raw formation energy (eV per atom) = 0.222
- D(E_F) (states/eV/cell) = 3.37

abc: 4.390 4.390 8.281
angles: 90.00 90.00 90.00
Space group I-4m2 (No. 119)
One atom of each set of equivalent atoms:
Cd: 0.000 0.000 0.000 x2
Cd: 0.000 0.500 0.250 x2
Sb: 0.000 0.000 0.500 x2
Ir: 0.000 0.500 0.750 x2

Entry from Alexandria via LeMat-Bulk: a geometry-optimized Cd2Sb2Ir structure (GGA-PBE).

## Properties
- raw formation energy (eV per atom) = 0.151
- D(E_F) (states/eV/cell) = 4.36

abc: 6.786 6.786 5.393
angles: 90.00 90.00 90.00
Space group P4/mbm (No. 127)
One atom of each set of equivalent atoms:
Cd: 0.171 0.329 0.000 x4
Sb: 0.151 0.651 0.500 x4
Ir: 0.000 0.000 0.500 x2

Entry from Alexandria via LeMat-Bulk: a geometry-optimized Cd2SbIr structure (GGA-PBE).

## Properties
- raw formation energy (eV per atom) = 0.328
- D(E_F) (states/eV/cell) = 9.98

abc: 3.2463 3.2463 27.9003
angles: 90.00 90.00 120.00
Space group R-3m (No. 166, hexagonal axes)
One atom of each set of equivalent atoms:
Cd: 0.0000 0.0000 0.2410 x6
Sb: 0.0000 0.0000 0.0000 x3
Ir: 0.0000 0.0000 0.5000 x3

Entry from Alexandria via LeMat-Bulk: a geometry-optimized Cd2SbIr structure (GGA-PBE).

## Properties
- raw formation energy (eV per atom) = 0.134
- D(E_F) (states/eV/cell) = 0.21

abc: 10.457 10.457 4.935
angles: 90.00 90.00 90.00
Space group I4_1/amd (No. 141, origin choice 2)
One atom of each set of equivalent atoms:
Cd: 0.000 0.000 0.000 x8
Sb: 0.000 0.250 0.375 x4
Ir: 0.000 0.250 0.875 x4

Entry from Alexandria via LeMat-Bulk: a geometry-optimized CdSb12Ir4 structure (GGA-PBE).

## Properties
- raw formation energy (eV per atom) = -0.302
- D(E_F) (states/eV/cell) = 0.65

abc: 9.427 9.427 9.427
angles: 90.00 90.00 90.00
Space group Im-3 (No. 204)
One atom of each set of equivalent atoms:
Cd: 0.000 0.000 0.000 x2
Sb: 0.000 0.339 0.154 x24
Ir: 0.250 0.250 0.250 x8

Entry from Alexandria via LeMat-Bulk: a geometry-optimized Cd2SbIr structure (GGA-PBE).

## Properties
- raw formation energy (eV per atom) = 0.114
- D(E_F) (states/eV/cell) = 10.13

abc: 3.3798 3.3798 27.3829
angles: 90.00 90.00 120.00
Space group R3m (No. 160, hexagonal axes)
One atom of each set of equivalent atoms:
Cd: 0.0000 0.0000 0.0000 x3
Cd: 0.0000 0.0000 0.2406 x3
Sb: 0.0000 0.0000 0.7678 x3
Ir: 0.0000 0.0000 0.4977 x3